No. 1
This record from Alexandria via LeMat-Bulk describes BaTlCrSe2 after structural relaxation. The functional is GGA-PBE.

a b c (Å): 6.1075 6.0861 6.1075
angles (deg): 90.00 90.00 90.00
Site moments in Bohr magnetons follow the coordinates.
Sites, in units of the cell vectors:
Cr: 0.0000 0.5000 0.0000  4.51
Tl: 0.5000 0.5000 0.5000  0.01
Ba: 0.0000 0.0000 0.0000  0.14
Se: 0.0000 0.0000 0.5000  0.33
Se: 0.5000 0.0000 0.0000  0.24

Summary:
Raw total energy in eV/atom: -3.746
Crystal system: tetragonal

No. 2
This record from Alexandria via LeMat-Bulk describes LaTiSe3 after structural relaxation. The functional is GGA-PBE.

a b c (Å): 5.6514 5.6514 5.6514
angles (deg): 90.00 90.00 90.00
Site moments in Bohr magnetons follow the coordinates.
Sites, in units of the cell vectors:
Ti: 0.5000 0.5000 0.5000  -0.18
Se: 0.0000 0.5000 0.0000  0.05
Se: 0.0000 0.0000 0.5000  0.05
Se: 0.5000 0.0000 0.0000  0.04
La: 0.0000 0.0000 0.0000  0.00

Summary:
Raw total energy in eV/atom: -4.631
Distance to the lowest polymorph of the same formula in eV/f.u.: 8.02
Crystal system: cubic

No. 3
This record from Alexandria via LeMat-Bulk describes DyTlSiSe4 after structural relaxation. The functional is GGA-PBE.

a b c (Å): 6.6830 6.9151 9.0137
angles (deg): 90.00 107.53 90.00
Sites, in units of the cell vectors:
Dy: 0.7681 0.7500 0.4465
Dy: 0.2319 0.2500 0.5535
Tl: 0.7560 0.7500 0.9365
Tl: 0.2440 0.2500 0.0635
Si: 0.2237 0.7500 0.3261
Si: 0.7763 0.2500 0.6739
Se: 0.0061 0.5058 0.7136
Se: 0.9939 0.0058 0.2864
Se: 0.9939 0.4942 0.2864
Se: 0.0061 0.9942 0.7136
Se: 0.4208 0.7500 0.1612
Se: 0.5792 0.2500 0.8388
Se: 0.4258 0.7500 0.5799
Se: 0.5742 0.2500 0.4201

Summary:
Raw total energy in eV/atom: -4.745
Crystal system: monoclinic

No. 4
This record from Alexandria via LeMat-Bulk describes Er2Pu3PaP6 after structural relaxation. The functional is GGA-PBE.

a b c (Å): 6.9128 6.9128 6.8757
angles (deg): 99.65 99.65 120.00
Site moments in Bohr magnetons follow the coordinates.
Sites, in units of the cell vectors:
Er: 0.3336 0.6664 0.0000  0.00
Er: 0.6664 0.3336 0.0000  0.00
Pu: 0.1680 0.8320 0.5000  5.02
Pu: 0.8320 0.1680 0.5000  5.02
Pu: 0.5000 0.5000 0.5000  5.02
Pa: 0.0000 0.0000 0.0000  0.28
P: 0.9172 0.5869 0.7511  -0.08
P: 0.7530 0.7530 0.2491  -0.08
P: 0.0828 0.4131 0.2489  -0.08
P: 0.5869 0.9172 0.7511  -0.08
P: 0.2470 0.2470 0.7509  -0.08
P: 0.4131 0.0828 0.2489  -0.08

Summary:
Raw total energy in eV/atom: -9.189
Energy relative to the elements in eV/atom: -1.349
Crystal system: monoclinic

No. 5
This record from Alexandria via LeMat-Bulk describes Ca3RuCl after structural relaxation. The functional is GGA-PBE.

a b c (Å): 5.2157 5.2157 5.2157
angles (deg): 90.00 90.00 90.00
Site moments in Bohr magnetons follow the coordinates.
Sites, in units of the cell vectors:
Ru: 0.5000 0.5000 0.5000  1.29
Ca: 0.0000 0.5000 0.0000  -0.04
Ca: 0.0000 0.0000 0.5000  -0.05
Ca: 0.5000 0.0000 0.0000  -0.06
Cl: 0.0000 0.0000 0.0000  0.00

Summary:
Raw total energy in eV/atom: -3.443
Distance to the lowest polymorph of the same formula in eV/f.u.: 1.05
Crystal system: cubic

No. 6
This record from Alexandria via LeMat-Bulk describes Be9V2Cr after structural relaxation. The functional is GGA-PBE.

a b c (Å): 4.2905 4.2905 7.2112
angles (deg): 72.69 72.69 60.00
Sites, in units of the cell vectors:
Be: 0.6659 0.6659 0.0024
Be: 0.3341 0.3341 0.9976
Be: 0.5000 0.5000 0.5000
Be: 0.4155 0.4155 0.2468
Be: 0.9222 0.4155 0.2468
Be: 0.4155 0.9222 0.2468
Be: 0.5845 0.5845 0.7532
Be: 0.5845 0.0778 0.7532
Be: 0.0778 0.5845 0.7532
V: 0.8570 0.8570 0.4291
V: 0.1430 0.1430 0.5709
Cr: 0.0000 0.0000 0.0000

Summary:
Raw total energy in eV/atom: -5.273
Energy relative to the elements in eV/atom: -0.157
Crystal system: trigonal

No. 7
This record from Alexandria via LeMat-Bulk describes Ac2Pr7Dy2 after structural relaxation. The functional is GGA-PBE.

a b c (Å): 9.8247 8.4495 9.8247
angles (deg): 45.87 124.02 134.13
Sites, in units of the cell vectors:
Ac: 0.2525 0.0668 0.7475
Ac: 0.7475 0.9332 0.2525
Pr: 0.5294 0.2714 0.0841
Pr: 0.0841 0.7286 0.5294
Pr: 0.4706 0.7286 0.9159
Pr: 0.9159 0.2714 0.4706
Pr: 0.5428 0.2810 0.4572
Pr: 0.0000 0.0000 0.0000
Pr: 0.4572 0.7190 0.5428
Dy: 0.7865 0.5000 0.7865
Dy: 0.2135 0.5000 0.2135

Summary:
Raw total energy in eV/atom: -4.436
Energy relative to the elements in eV/atom: 0.189
Distance to the lowest polymorph of the same formula in eV/f.u.: 0.19
Crystal system: monoclinic

No. 8
This record from Alexandria via LeMat-Bulk describes CuSe8 after structural relaxation. The functional is GGA-PBE.

a b c (Å): 8.6250 8.6250 8.6250
angles (deg): 92.62 92.62 155.29
Sites, in units of the cell vectors:
Cu: 0.0000 0.0000 0.0000
Se: 0.3263 0.6737 0.0000
Se: 0.6737 0.3263 0.0000
Se: 0.0000 0.2005 0.2005
Se: 0.6737 0.6737 0.3474
Se: 0.2005 0.0000 0.2005
Se: 0.3263 0.3263 0.6526
Se: 0.0000 0.7995 0.7995
Se: 0.7995 0.0000 0.7995

Summary:
Raw total energy in eV/atom: -3.313
Crystal system: tetragonal